(1)
Compound: Pa3Ni2
Source: the Open Quantum Materials Database
Functional: PBE-GGA
Structure: relaxed

Cell and atoms, written as POSCAR:
```
Pa3Ni2
1.0
3.0706 1.7728 6.3998
-3.0706 1.7728 6.3998
0.0000 -3.5456 6.3998
Pa Ni
6 4
Direct
0.1678 0.7500 0.3322 Pa
0.2500 0.6678 0.8322 Pa
0.3322 0.1678 0.7500 Pa
0.6678 0.8322 0.2500 Pa
0.7500 0.3322 0.1678 Pa
0.8322 0.2500 0.6678 Pa
0.1884 0.1884 0.1884 Ni
0.3116 0.3116 0.3116 Ni
0.6884 0.6884 0.6884 Ni
0.8116 0.8116 0.8116 Ni
```

Output
final energy	-78.6	eV for the cell shown
calculated formation energy	0.316	eV per formula unit

(2)
Compound: PrPaNi2Sb4
Source: the Open Quantum Materials Database
Functional: PBE-GGA
Structure: relaxed

Cell and atoms, written as POSCAR:
```
PrPaNi2Sb4
1.0
4.4034 0.0000 0.0000
0.0000 4.4034 0.0000
0.0000 0.0000 9.4596
Pr Pa Ni Sb
1 1 2 4
Direct
0.0000 0.0000 0.0000 Pr
0.5000 0.5000 0.4642 Pa
0.0000 0.5000 0.2562 Ni
0.5000 0.0000 0.2562 Ni
0.0000 0.0000 0.3980 Sb
0.0000 0.5000 0.7262 Sb
0.5000 0.0000 0.7262 Sb
0.5000 0.5000 0.1047 Sb
```

Output
final energy	-47.1	eV for the cell shown

(3)
Compound: PaNiPt
Source: the Open Quantum Materials Database
Functional: PBE-GGA
Structure: relaxed

Cell and atoms, written as POSCAR:
```
PaNiPt
1.0
0.0000 3.2073 3.2073
3.2073 0.0000 3.2073
3.2073 3.2073 0.0000
Pa Ni Pt
1 1 1
Direct
0.0000 0.0000 0.0000 Pa
0.7500 0.7500 0.7500 Ni
0.2500 0.2500 0.2500 Pt
```

Output
final energy	-21.7	eV for the cell shown
calculated formation energy	-0.607	eV per formula unit

(4)
Compound: PaNiPt
Source: the Open Quantum Materials Database
Functional: PBE-GGA
Structure: relaxed

Cell and atoms, written as POSCAR:
```
PaNiPt
1.0
0.0000 3.0820 3.0820
3.0820 0.0000 3.0820
3.0820 3.0820 0.0000
Pa Ni Pt
1 1 1
Direct
0.0000 0.0000 0.0000 Pa
0.7500 0.7500 0.7500 Ni
0.5000 0.5000 0.5000 Pt
```

Output
final energy	-22.7	eV for the cell shown
calculated formation energy	-1.580	eV per formula unit

(5)
Compound: RbPaNi
Source: the Open Quantum Materials Database
Functional: PBE-GGA
Structure: relaxed

Cell and atoms, written as POSCAR:
```
RbPaNi
1.0
0.0000 3.3642 3.3642
3.3642 0.0000 3.3642
3.3642 3.3642 0.0000
Rb Pa Ni
1 1 1
Direct
0.0000 0.0000 0.0000 Rb
0.7500 0.7500 0.7500 Pa
0.5000 0.5000 0.5000 Ni
```

Output
final energy	-11.6	eV for the cell shown

(6)
Compound: PaReNi
Source: the Open Quantum Materials Database
Functional: PBE-GGA
Structure: relaxed

Cell and atoms, written as POSCAR:
```
PaReNi
1.0
0.0000 3.0458 3.0458
3.0458 0.0000 3.0458
3.0458 3.0458 0.0000
Pa Re Ni
1 1 1
Direct
0.0000 0.0000 0.0000 Pa
0.5000 0.5000 0.5000 Re
0.7500 0.7500 0.7500 Ni
```

Output
final energy	-26.8	eV for the cell shown
polymorph energy (0 for the lowest one)	0	meV/atom
calculated formation energy	0.699	eV per formula unit